HfPIr2: optimized geometry, PBE.

a b c (Å): 7.056 3.471 5.615
angles (deg): 90.00 90.00 90.00
Fractional coordinates of all 8 atoms:
Hf: 0.250 0.500 0.963
Hf: 0.750 0.500 0.037
P: 0.250 0.000 0.575
P: 0.750 0.000 0.425
Ir: 0.956 0.000 0.752
Ir: 0.456 0.000 0.248
Ir: 0.044 0.000 0.248
Ir: 0.544 0.000 0.752

Calculated values
density	14.3	g/cm3
DOS(E_F)	0.371	states/eV per atom
calculated formation energy	-0.755	eV/atom
crystal system	orthorhombic
total magnetic moment	0.00	μB/f.u.
space-group type	Pmma (51)